No. 1
## Th2BeSiC (PBE)

Data for a relaxed structure of Th2BeSiC.

Cell: 6.403 3.856 8.361 Å, 90.00 108.29 90.00°
Space group P2_1/m (No. 11)
One atom of each set of equivalent atoms:
Th1 0.209 0.250 0.392 (multiplicity 2)
Th2 0.225 0.250 0.965 (multiplicity 2)
Be1 0.458 0.750 0.250 (multiplicity 2)
Si1 0.336 0.750 0.702 (multiplicity 2)
C1 0.172 0.750 0.174 (multiplicity 2)

## Properties
Crystal system: monoclinic
Raw formation energy, eV per atom: -0.53
Calculated volume, Å³ per cell: 196.0

No. 2
## Y2BeSiC (PBE)

Data for a relaxed structure of Y2BeSiC.

Cell: 6.325 3.735 7.920 Å, 90.00 107.80 90.00°
Space group P2_1/m (No. 11)
One atom of each set of equivalent atoms:
Y1 0.201 0.250 0.390 (multiplicity 2)
Y2 0.217 0.250 0.965 (multiplicity 2)
Be1 0.456 0.750 0.247 (multiplicity 2)
Si1 0.331 0.750 0.702 (multiplicity 2)
C1 0.176 0.750 0.175 (multiplicity 2)

## Properties
Crystal system: monoclinic
Raw formation energy, eV per atom: -0.54
Energy above the lowest structure with this stoichiometry, eV per atom: 0.000
Calculated volume, Å³ per cell: 178.1

No. 3
## Y2BeSiC (PBE)

Data for a relaxed structure of Y2BeSiC.

Cell: 5.004 5.004 3.477 Å, 90.00 90.00 90.00°
Space group P4/mmm (No. 123)
One atom of each set of equivalent atoms:
Y1 0.000 0.500 0.000 (multiplicity 2)
Be1 0.000 0.000 0.500 (multiplicity 1)
Si1 0.500 0.500 0.500 (multiplicity 1)
C1 0.000 0.000 0.000 (multiplicity 1)

## Properties
Crystal system: tetragonal
Raw formation energy, eV per atom: -0.45
Energy above the lowest structure with this stoichiometry, eV per atom: 0.093
Calculated volume, Å³ per cell: 87.1

No. 4
## Be2ZnSiC (PBE)

Data for a relaxed structure of Be2ZnSiC.

Cell: 3.475 3.475 4.975 Å, 90.00 90.00 90.00°
Space group P4/mmm (No. 123)
One atom of each set of equivalent atoms:
Be1 0.000 0.500 0.000 (multiplicity 2)
Zn1 0.000 0.000 0.500 (multiplicity 1)
Si1 0.500 0.500 0.500 (multiplicity 1)
C1 0.000 0.000 0.000 (multiplicity 1)

## Properties
Crystal system: tetragonal
Raw formation energy, eV per atom: 0.50
Calculated volume, Å³ per cell: 60.1

No. 5
## SmBeC (PBE)

Data for a relaxed structure of SmBeC.

Cell: 6.283 5.130 5.433 Å, 90.00 90.00 90.00°
Space group Pnma (No. 62)
One atom of each set of equivalent atoms:
Sm1 0.177 0.250 0.135 (multiplicity 4)
Be1 0.055 0.250 0.661 (multiplicity 4)
C1 0.171 0.750 0.156 (multiplicity 4)

## Properties
Crystal system: orthorhombic
Formation energy, eV/atom: -0.148
Energy above the lowest structure with this stoichiometry, eV per atom: 0.000
Calculated volume, Å³ per cell: 175.1

No. 6
## SmBeC (PBE)

Data for a relaxed structure of SmBeC.

Cell: 3.3925 3.3925 3.9520 Å, 90.00 90.00 120.00°
Space group P-6m2 (No. 187)
One atom of each set of equivalent atoms:
Sm1 0.0000 0.0000 0.0000 (multiplicity 1)
Be1 0.6667 0.3333 0.5000 (multiplicity 1)
C1 0.3333 0.6667 0.5000 (multiplicity 1)

## Properties
Crystal system: hexagonal
Formation energy, eV/atom: -0.118
Energy above the lowest structure with this stoichiometry, eV per atom: 0.030
Calculated volume, Å³ per cell: 39.4